First-principles (PBE-GGA) data for a geometry-optimized CeNdSbTe structure, as listed in Alexandria via LeMat-Bulk.

extended XYZ file:
```
4
Lattice="-4.014 -2.716 -2.564 -1.785 -4.783 1.999 -4.975 -0.333 2.280" Properties=species:S:1:pos:R:3 pbc="T T T"
Nd -5.387 -3.916 0.858
Sb -2.694 -1.958 0.429
Ce 0.000 0.000 0.000
Te -8.081 -5.874 1.287
```

Values from the calculation:
As for the energy above the lowest structure with this stoichiometry: 0.804 eV/f.u. Its total magnetization is 1.88 μB per formula unit. The value obtained for the formation energy from raw total energies is -105 kJ per mole of atoms. The space-group type is No. 216. For the total energy, the calculation gives -5.5810 eV per atom.

=====

First-principles (PBE-GGA) data for a geometry-optimized CeNdSbTe structure, as listed in Alexandria via LeMat-Bulk.

extended XYZ file:
```
4
Lattice="-4.366 0.786 -0.785 -2.652 -3.319 -1.498 -3.932 -2.723 6.219" Properties=species:S:1:pos:R:3 pbc="T T T"
Ce -5.731 -2.930 3.091
Nd -7.296 -2.862 -1.062
Sb -3.005 -1.630 2.159
Te -8.478 -4.255 4.116
```

Values from the calculation:
As for the energy above the lowest structure with this stoichiometry: 0.000 eV/f.u. Its total magnetization is 1.13 μB per formula unit. The value obtained for the formation energy from raw total energies is -125 kJ per mole of atoms. The space-group type is No. 160. For the total energy, the calculation gives -5.7821 eV per atom.

=====

First-principles (PBE-GGA) data for a geometry-optimized Ce2NdThSb4 structure, as listed in Alexandria via LeMat-Bulk.

extended XYZ file:
```
8
Lattice="-2.748 -2.010 2.950 2.802 -6.993 -2.154 6.125 -1.821 4.465" Properties=species:S:1:pos:R:3 pbc="T T T"
Ce 6.125 -1.821 4.465
Sb 2.262 -6.712 0.975
Sb 3.915 -4.113 4.286
Sb 6.689 -6.619 1.723
Th 4.463 -4.407 1.156
Nd 6.151 -6.323 4.863
Sb -0.511 -4.206 3.538
Ce 1.688 -1.916 3.708
```

Values from the calculation:
Its total magnetization is 1.85 μB per formula unit. The value obtained for the formation energy from raw total energies is -103 kJ per mole of atoms. The space-group type is No. 10. For the total energy, the calculation gives -6.1313 eV per atom.

=====

First-principles (PBE-GGA) data for a geometry-optimized Ce3NdTh4Sb8 structure, as listed in Alexandria via LeMat-Bulk.

extended XYZ file:
```
16
Lattice="-3.670 7.550 -3.285 -7.279 -4.661 -2.578 2.744 -0.314 8.581" Properties=species:S:1:pos:R:3 pbc="T T T"
Sb -5.000 -1.761 1.540
Th -1.835 3.775 -1.643
Sb -3.632 -1.917 5.820
Nd -3.639 -2.330 -1.289
Sb -6.834 2.012 -0.109
Ce -4.103 1.288 1.359
Sb -5.463 1.848 4.182
Th 1.372 -0.157 4.291
Sb -3.205 4.336 1.178
Sb -1.372 0.563 2.827
Ce -5.475 1.445 -2.932
Sb -4.574 4.493 -3.103
Ce -2.268 -2.487 3.001
Th -0.463 3.618 2.648
Sb -2.743 0.727 -1.464
Th 0.000 0.000 0.000
```

Values from the calculation:
Its total magnetization is 2.92 μB per formula unit. The value obtained for the formation energy from raw total energies is -97 kJ per mole of atoms. The space-group type is No. 166. For the total energy, the calculation gives -6.3370 eV per atom.

=====

First-principles (PBE-GGA) data for a geometry-optimized CeNd2ThSb5 structure, as listed in Alexandria via LeMat-Bulk.

extended XYZ file:
```
9
Lattice="-5.316 -0.800 0.344 0.796 -3.600 3.927 -0.779 8.645 8.082" Properties=species:S:1:pos:R:3 pbc="T T T"
Nd -2.487 0.318 4.490
Sb -0.585 6.494 6.071
Sb -0.194 2.151 2.011
Th 0.000 0.000 0.000
Nd -2.812 3.927 7.863
Sb 0.008 2.523 6.005
Sb -2.260 -2.200 2.135
Sb -3.047 3.923 4.213
Ce -0.390 4.323 4.041
```

Values from the calculation:
Its total magnetization is 0.00 μB per formula unit. The value obtained for the formation energy from raw total energies is -21 kJ per mole of atoms. The space-group type is No. 123. For the total energy, the calculation gives -5.0488 eV per atom.

=====

First-principles (PBE-GGA) data for a geometry-optimized CeNdTh2Sb4 structure, as listed in Alexandria via LeMat-Bulk.

extended XYZ file:
```
8
Lattice="4.510 0.000 0.000 0.000 7.803 -0.150 0.000 2.750 7.324" Properties=species:S:1:pos:R:3 pbc="T T T"
Nd 2.255 3.902 -0.075
Th 0.000 2.750 7.324
Sb 2.255 4.015 5.449
Th 2.255 1.375 3.662
Sb 0.000 7.915 5.373
Sb 4.510 2.639 1.801
Sb 2.255 6.539 1.725
Ce 0.000 5.277 3.587
```

Values from the calculation:
Its total magnetization is 1.00 μB per formula unit. The value obtained for the formation energy from raw total energies is -99 kJ per mole of atoms. The space-group type is No. 10. For the total energy, the calculation gives -6.2815 eV per atom.

=====

First-principles (PBE-GGA) data for a geometry-optimized Ce2NdTmSb4 structure, as listed in Alexandria via LeMat-Bulk.

extended XYZ file:
```
8
Lattice="-1.524 4.183 -0.335 -5.444 -2.380 -4.957 -6.358 -2.002 3.921" Properties=species:S:1:pos:R:3 pbc="T T T"
Tm -5.901 -2.191 -0.518
Sb -8.810 -3.272 -0.794
Sb -6.872 -0.002 1.476
Sb -6.453 -0.196 -2.847
Ce -3.941 1.091 1.793
Sb -4.516 3.074 -0.578
Ce -6.358 -2.002 3.921
Nd -3.484 0.902 -2.646
```

Values from the calculation:
Its total magnetization is 1.55 μB per formula unit. The value obtained for the formation energy from raw total energies is -104 kJ per mole of atoms. The space-group type is No. 10. For the total energy, the calculation gives -5.7805 eV per atom.

=====

First-principles (PBE-GGA) data for a geometry-optimized Ce3Nd2YSb6 structure, as listed in Alexandria via LeMat-Bulk.

extended XYZ file:
```
12
Lattice="7.780 -0.001 0.000 -3.889 6.738 0.000 -1.298 -2.248 7.333" Properties=species:S:1:pos:R:3 pbc="T T T"
Sb 2.557 -0.003 1.829
Ce 5.164 0.011 3.666
Nd 3.881 2.250 0.000
Sb -1.280 2.214 1.829
Sb 2.613 4.524 1.847
Y 0.000 0.000 0.000
Sb 3.873 2.275 5.504
Nd 0.009 4.487 0.000
Ce -2.571 4.478 3.666
Ce 1.296 2.245 3.666
Sb -0.020 -0.034 5.486
Sb 0.036 4.492 5.504
```

Values from the calculation:
Its total magnetization is 2.35 μB per formula unit. The value obtained for the formation energy from raw total energies is -107 kJ per mole of atoms. The space-group type is No. 12. For the total energy, the calculation gives -5.9917 eV per atom.